## i
## PrHgSO (GGA-PBE)

Data for crystalline PrHgSO at its relaxed geometry.

* ρ: 6.6 g/cm³
* V: 24.503 A^3/atom

Cell lengths 7.952, 8.867, 5.560 Å; angles 90.00, 90.00, 90.00 degrees
Space group Pca2_1 (No. 29)
One atom of each set of equivalent atoms:
1 Pr 0.053 0.180 0.000 (multiplicity 4)
2 Hg 0.162 0.611 0.947 (multiplicity 4)
3 S 0.099 0.118 0.502 (multiplicity 4)
4 O 0.004 0.414 0.077 (multiplicity 4)



## ii
## PrHgSO (GGA-PBE)

Data for crystalline PrHgSO at its relaxed geometry.

* ρ: 7.8 g/cm³
* V: 20.648 A^3/atom

Cell lengths 4.065, 4.065, 9.995 Å; angles 90.00, 90.00, 90.00 degrees
Space group P4/nmm (No. 129, origin choice 2)
One atom of each set of equivalent atoms:
1 Pr 0.250 0.250 0.121 (multiplicity 2)
2 Hg 0.250 0.750 0.500 (multiplicity 2)
3 S 0.250 0.250 0.730 (multiplicity 2)
4 O 0.250 0.750 0.000 (multiplicity 2)



## iii
## PrHgSO (GGA-PBE)

Data for crystalline PrHgSO at its relaxed geometry.

* ρ: 5.8 g/cm³
* V: 28.021 A^3/atom

Cell lengths 4.972, 8.922, 5.053 Å; angles 90.00, 90.00, 90.00 degrees
Space group Pmc2_1 (No. 26)
One atom of each set of equivalent atoms:
1 Pr 0.000 0.147 0.000 (multiplicity 2)
2 Hg 0.500 0.313 0.540 (multiplicity 2)
3 S 0.500 0.305 0.042 (multiplicity 2)
4 O 0.000 0.099 0.541 (multiplicity 2)



## iv
## PrHgSO (GGA-PBE)

Data for crystalline PrHgSO at its relaxed geometry.

* ρ: 6.6 g/cm³
* V: 24.367 A^3/atom

Cell lengths 5.839, 5.861, 11.395 Å; angles 90.00, 91.08, 90.00 degrees
Space group P2_1 (No. 4)
One atom of each set of equivalent atoms:
1 Pr 0.003 0.000 0.103 (multiplicity 2)
2 Pr 0.497 0.000 0.896 (multiplicity 2)
3 Hg 0.186 0.760 0.497 (multiplicity 2)
4 Hg 0.496 0.510 0.675 (multiplicity 2)
5 S 0.211 0.224 0.710 (multiplicity 2)
6 S 0.214 0.292 0.289 (multiplicity 2)
7 O 0.250 0.749 0.000 (multiplicity 2)
8 O 0.253 0.249 0.000 (multiplicity 2)



iv (0.105 eV/atom below the next structure)



## i
## HgPtSO (GGA-PBE)

Data for crystalline HgPtSO at its relaxed geometry.

* ρ: 11.1 g/cm³
* V: 16.596 A^3/atom

Cell lengths 3.926, 3.926, 8.615 Å; angles 90.00, 90.00, 90.00 degrees
Space group P4/nmm (No. 129, origin choice 2)
One atom of each set of equivalent atoms:
1 Hg 0.250 0.750 0.000 (multiplicity 2)
2 Pt 0.250 0.250 0.249 (multiplicity 2)
3 S 0.250 0.250 0.682 (multiplicity 2)
4 O 0.250 0.250 0.507 (multiplicity 2)



## ii
## HgPtSO (GGA-PBE)

Data for crystalline HgPtSO at its relaxed geometry.

* ρ: 10.8 g/cm³
* V: 17.136 A^3/atom

Cell lengths 6.062, 8.009, 5.648 Å; angles 90.00, 90.00, 90.00 degrees
Space group Pca2_1 (No. 29)
One atom of each set of equivalent atoms:
1 Hg 0.005 0.196 0.000 (multiplicity 4)
2 Pt 0.119 0.366 0.603 (multiplicity 4)
3 S 0.084 0.845 0.935 (multiplicity 4)
4 O 0.154 0.507 0.283 (multiplicity 4)



ii (0.172 eV/atom below the next structure)



## i
## HgPtSeO (GGA-PBE)

Data for crystalline HgPtSeO at its relaxed geometry.

* ρ: 9.6 g/cm³
* V: 21.176 A^3/atom

Cell lengths 5.023, 5.023, 6.713 Å; angles 90.00, 90.00, 90.00 degrees
Space group P4/nmm (No. 129, origin choice 2)
One atom of each set of equivalent atoms:
1 Hg 0.250 0.250 0.186 (multiplicity 2)
2 Pt 0.250 0.250 0.585 (multiplicity 2)
3 Se 0.250 0.750 0.500 (multiplicity 2)
4 O 0.250 0.250 0.878 (multiplicity 2)



## ii
## HgPtSeO (GGA-PBE)

Data for crystalline HgPtSeO at its relaxed geometry.

* ρ: 11.2 g/cm³
* V: 18.190 A^3/atom

Cell lengths 6.570, 9.163, 4.834 Å; angles 90.00, 90.00, 90.00 degrees
Space group Pca2_1 (No. 29)
One atom of each set of equivalent atoms:
1 Hg 0.125 0.089 0.000 (multiplicity 4)
2 Pt 0.106 0.641 0.993 (multiplicity 4)
3 Se 0.014 0.377 0.993 (multiplicity 4)
4 O 0.013 0.857 0.992 (multiplicity 4)



## iii
## HgPtSeO (GGA-PBE)

Data for crystalline HgPtSeO at its relaxed geometry.

* ρ: 8.9 g/cm³
* V: 22.996 A^3/atom

Cell lengths 3.956, 3.956, 11.755 Å; angles 90.00, 90.00, 90.00 degrees
Space group P4/nmm (No. 129, origin choice 2)
One atom of each set of equivalent atoms:
1 Hg 0.250 0.250 0.038 (multiplicity 2)
2 Pt 0.250 0.750 0.500 (multiplicity 2)
3 Se 0.250 0.250 0.647 (multiplicity 2)
4 O 0.250 0.250 0.792 (multiplicity 2)



## iv
## HgPtSeO (GGA-PBE)

Data for crystalline HgPtSeO at its relaxed geometry.

* ρ: 9.9 g/cm³
* V: 20.607 A^3/atom

Cell lengths 4.540, 4.540, 7.998 Å; angles 90.00, 90.00, 90.00 degrees
Space group P4/nmm (No. 129, origin choice 2)
One atom of each set of equivalent atoms:
1 Hg 0.250 0.250 0.161 (multiplicity 2)
2 Pt 0.250 0.250 0.643 (multiplicity 2)
3 Se 0.250 0.750 0.500 (multiplicity 2)
4 O 0.250 0.250 0.887 (multiplicity 2)



ii (0.029 eV/atom below the next structure)